No. 1
{
  "formula": "TaCoGe",
  "functional": "GGA-PBE",
  "state": "relaxed",
  "lattice_angstrom": [[-1.6555, -3.6513, -4.8850], [3.4541, 0.3180, -1.4082], [2.0239, -5.8053, 3.6533]],
  "species": ["Co", "Co", "Co", "Co", "Ge", "Ge", "Ge", "Ge", "Ta", "Ta", "Ta", "Ta"],
  "fractional_positions": [[0.6405, 0.7500, 0.0627], [0.1405, 0.7500, 0.4373], [0.8595, 0.2500, 0.5627], [0.3595, 0.2500, 0.9373], [0.2690, 0.7500, 0.1195], [0.7690, 0.7500, 0.3805], [0.2310, 0.2500, 0.6195], [0.7310, 0.2500, 0.8805], [0.9781, 0.2500, 0.1824], [0.4781, 0.2500, 0.3176], [0.5219, 0.7500, 0.6824], [0.0219, 0.7500, 0.8176]],
  "volume_a3_per_atom": 14.10,
  "e_tot_ev_per_atom": -8.29
}

---

No. 2
{
  "formula": "Dy2Y3S7",
  "functional": "GGA-PBE",
  "state": "relaxed",
  "lattice_angstrom": [[-0.0699, 1.0222, 6.6228], [-3.7058, 0.6774, 5.5425], [1.4044, -11.4806, -1.0622]],
  "species": ["Dy", "Dy", "S", "S", "S", "S", "S", "S", "S", "Y", "Y", "Y"],
  "fractional_positions": [[0.8881, 0.8881, 0.0788], [0.1119, 0.1119, 0.9212], [0.5000, 0.5000, 0.0000], [0.2594, 0.2594, 0.1474], [0.0411, 0.0411, 0.2846], [0.3407, 0.3407, 0.4487], [0.6593, 0.6593, 0.5513], [0.9589, 0.9589, 0.7154], [0.7406, 0.7406, 0.8526], [0.6996, 0.6996, 0.3121], [0.0000, 0.0000, 0.5000], [0.3004, 0.3004, 0.6879]],
  "volume_a3_per_atom": 22.92,
  "e_tot_ev_per_atom": -6.87
}

---

No. 3
{
  "formula": "HfAg2Ge",
  "functional": "GGA-PBE",
  "state": "relaxed",
  "lattice_angstrom": [[0.0000, 3.3271, 3.3271], [3.3271, 0.0000, 3.3271], [3.3271, 3.3271, 0.0000]],
  "species": ["Ag", "Ag", "Ge", "Hf"],
  "fractional_positions": [[0.0000, 0.0000, 0.0000], [0.7500, 0.7500, 0.7500], [0.5000, 0.5000, 0.5000], [0.2500, 0.2500, 0.2500]],
  "volume_a3_per_atom": 18.42,
  "e_tot_ev_per_atom": -5.10
}

---

No. 4
{
  "formula": "ZrReAsO",
  "functional": "GGA-PBE",
  "state": "relaxed",
  "lattice_angstrom": [[4.2382, 0.0000, 0.0000], [0.0000, 4.7266, 0.0000], [0.0000, 0.0000, 6.1543]],
  "species": ["As", "As", "O", "O", "Re", "Re", "Zr", "Zr"],
  "fractional_positions": [[0.0000, 0.3691, 0.2946], [0.0000, 0.6309, 0.7946], [0.5000, 0.9207, 0.4124], [0.5000, 0.0793, 0.9124], [0.0000, 0.8685, 0.4390], [0.0000, 0.1315, 0.9390], [0.5000, 0.7187, 0.1080], [0.5000, 0.2813, 0.6080]],
  "volume_a3_per_atom": 15.41,
  "e_tot_ev_per_atom": -8.57
}

---

No. 5
{
  "formula": "MgZrAlFe",
  "functional": "GGA-PBE",
  "state": "relaxed",
  "lattice_angstrom": [[0.0000, 3.2412, 3.2412], [3.2412, 0.0000, 3.2412], [3.2412, 3.2412, 0.0000]],
  "species": ["Al", "Fe", "Mg", "Zr"],
  "fractional_positions": [[0.0000, 0.0000, 0.0000], [0.7500, 0.7500, 0.7500], [0.5000, 0.5000, 0.5000], [0.2500, 0.2500, 0.2500]],
  "volume_a3_per_atom": 17.02,
  "e_tot_ev_per_atom": -5.48
}

---

No. 6
{
  "formula": "TmScW",
  "functional": "GGA-PBE",
  "state": "relaxed",
  "lattice_angstrom": [[0.0000, 3.3440, 3.3440], [3.3440, 0.0000, 3.3440], [3.3440, 3.3440, 0.0000]],
  "species": ["Sc", "Tm", "W"],
  "fractional_positions": [[0.2500, 0.2500, 0.2500], [0.0000, 0.0000, 0.0000], [0.7500, 0.7500, 0.7500]],
  "e_form_ev_per_atom": 1.4256,
  "volume_a3_per_atom": 24.93,
  "e_tot_ev_per_atom": -6.50
}

---

No. 7
{
  "formula": "NbInTc2",
  "functional": "GGA-PBE",
  "state": "relaxed",
  "lattice_angstrom": [[0.0000, 3.2368, 3.2368], [3.2368, 0.0000, 3.2368], [3.2368, 3.2368, 0.0000]],
  "species": ["In", "Nb", "Tc", "Tc"],
  "fractional_positions": [[0.5000, 0.5000, 0.5000], [0.2500, 0.2500, 0.2500], [0.0000, 0.0000, 0.0000], [0.7500, 0.7500, 0.7500]],
  "volume_a3_per_atom": 16.96,
  "e_tot_ev_per_atom": -8.07
}

---

No. 8
{
  "formula": "GdTmGe2Pt4",
  "functional": "GGA-PBE",
  "state": "relaxed",
  "lattice_angstrom": [[-3.9629, 1.6221, -0.8877], [2.6993, -1.0867, -3.2644], [-3.4461, -8.4406, -0.0398]],
  "species": ["Gd", "Ge", "Ge", "Pt", "Pt", "Pt", "Pt", "Tm"],
  "fractional_positions": [[0.0000, 0.0000, 0.0000], [0.6667, 0.3333, 0.2522], [0.6667, 0.3333, 0.7478], [0.3333, 0.6667, 0.1684], [0.0000, 0.0000, 0.3382], [0.0000, 0.0000, 0.6618], [0.3333, 0.6667, 0.8316], [0.3333, 0.6667, 0.5000]],
  "volume_a3_per_atom": 18.87,
  "e_tot_ev_per_atom": -6.30
}

---

No. 9
{
  "formula": "HgAsNO",
  "functional": "GGA-PBE",
  "state": "relaxed",
  "lattice_angstrom": [[4.3848, 0.0000, 0.0000], [0.0000, 4.3848, 0.0000], [0.0000, 0.0000, 5.9912]],
  "species": ["As", "As", "Hg", "Hg", "N", "N", "O", "O"],
  "fractional_positions": [[0.5000, 0.0000, 0.0400], [0.0000, 0.5000, 0.9600], [0.0000, 0.0000, 0.5000], [0.5000, 0.5000, 0.5000], [0.5000, 0.0000, 0.3506], [0.0000, 0.5000, 0.6494], [0.0000, 0.0000, 0.0000], [0.5000, 0.5000, 0.0000]],
  "volume_a3_per_atom": 14.40,
  "e_tot_ev_per_atom": -4.30
}

---

No. 10
{
  "formula": "LuCuNiPb",
  "functional": "GGA-PBE",
  "state": "relaxed",
  "lattice_angstrom": [[0.0000, 3.2854, 3.2854], [3.2854, 0.0000, 3.2854], [3.2854, 3.2854, 0.0000]],
  "species": ["Cu", "Lu", "Ni", "Pb"],
  "fractional_positions": [[0.7500, 0.7500, 0.7500], [0.5000, 0.5000, 0.5000], [0.2500, 0.2500, 0.2500], [0.0000, 0.0000, 0.0000]],
  "volume_a3_per_atom": 17.73,
  "e_tot_ev_per_atom": -4.60
}

---

No. 11
{
  "formula": "Li8ReO6",
  "functional": "GGA-PBE",
  "state": "relaxed",
  "lattice_angstrom": [[5.9278, -0.0247, -0.0167], [3.4801, 4.7988, -0.0167], [3.4801, 1.7660, 4.4620]],
  "species": ["Li", "Li", "Li", "Li", "Li", "Li", "Li", "Li", "O", "O", "O", "O", "O", "O", "Re"],
  "fractional_positions": [[0.7657, 0.4903, 0.1015], [0.5097, 0.8985, 0.2343], [0.3424, 0.3424, 0.3424], [0.1015, 0.7657, 0.4903], [0.8985, 0.2343, 0.5097], [0.6576, 0.6576, 0.6576], [0.4903, 0.1015, 0.7657], [0.2343, 0.5097, 0.8985], [0.3848, 0.7640, 0.0909], [0.9091, 0.6152, 0.2360], [0.7640, 0.0909, 0.3848], [0.2360, 0.9091, 0.6152], [0.0909, 0.3848, 0.7640], [0.6152, 0.2360, 0.9091], [0.0000, 0.0000, 0.0000]],
  "volume_a3_per_atom": 8.51,
  "e_tot_ev_per_atom": -5.58
}

---

No. 12
{
  "formula": "CuH",
  "functional": "GGA-PBE",
  "state": "relaxed",
  "lattice_angstrom": [[-0.3912, 2.1486, 1.3433], [-1.7752, -0.8146, -1.6609], [-1.1330, -1.3895, 1.8926]],
  "species": ["Cu", "H"],
  "fractional_positions": [[0.6667, 0.3333, 0.7500], [0.3333, 0.6667, 0.2500]],
  "volume_a3_per_atom": 7.42,
  "e_tot_ev_per_atom": -3.21
}